No. 1
This record from the Alexandria database describes a relaxed structure of Pm2Er6Zr. The functional is PBE.

For the total magnetic moment, the calculation gives 0.0 μB per formula unit. As for the formation energy: 1.048 eV/f.u. As for the density of states at the Fermi level: 51.4 states/eV per cell.

The space group is C2/c (No. 15) and the conventional cell measures 16.3665, 11.5073 and 5.8886 Å, with angles of 90.00, 98.11 and 90.00 degrees. Symmetry generates all atoms from Pm at (0.1736, 0.1037, 0.0629), Er at (0.0518, 0.1365, 0.5151), Er at (0.1030, 0.3875, 0.8113), Er at (0.2024, 0.3565, 0.3596) and Zr at (0.0000, 0.3759, 0.2500).

No. 2
This record from the Alexandria database describes a relaxed structure of Pm6Er8Zr. The functional is PBE.

For the total magnetic moment, the calculation gives 0.0 μB per formula unit. As for the formation energy: 1.914 eV/f.u. As for the density of states at the Fermi level: 63.9 states/eV per cell.

The space group is R-3 (No. 148, hexagonal axes) and the conventional cell measures 9.0236, 9.0236 and 20.4909 Å, with angles of 90.00, 90.00 and 120.00 degrees. Symmetry generates all atoms from Pm at (0.0679, 0.2525, 0.2097), Er at (0.0000, 0.0000, 0.0766), Er at (0.0836, 0.5593, 0.3049) and Zr at (0.0000, 0.0000, 0.5000).

No. 3
This record from the Alexandria database describes a relaxed structure of Pm12Er6Zr. The functional is PBE.

For the total magnetic moment, the calculation gives 0.0 μB per formula unit. As for the formation energy: 0.674 eV/f.u. As for the density of states at the Fermi level: 68.4 states/eV per cell.

The space group is R-3 (No. 148, hexagonal axes) and the conventional cell measures 15.5976, 15.5976 and 8.7589 Å, with angles of 90.00, 90.00 and 120.00 degrees. Symmetry generates all atoms from Pm at (0.0356, 0.2807, 0.3380), Pm at (0.0757, 0.5638, 0.6664), Er at (0.0170, 0.1355, 0.6715) and Zr at (0.0000, 0.0000, 0.0000).

| no. | density (g cm⁻³) |
| --- | --- |
| 1 | 8.4 |
| 2 | 7.9 |
| 3 | 7.7 |